This record from Alexandria via LeMat-Bulk describes crystalline LaRe5 at its relaxed geometry. The functional is PBE.

Properties
E_form	498	meV per atom
DOS at the Fermi energy	7.059	states/eV/f.u.
ρ	16.52	Mg/m³

abc: 4.2407 11.9699 4.2367
angles: 90.00 90.00 90.00
Space group Cmmm (No. 65)
Unique sites:
La 0.0000 0.0000 0.0000
Re 0.0000 0.1871 0.5000
Re 0.0000 0.3087 0.0000
Re 0.0000 0.5000 0.5000



This record from Alexandria via LeMat-Bulk describes crystalline BeTe3 at its relaxed geometry. The functional is PBE.

Properties
DOS at the Fermi energy	2.049	states/eV/f.u.
ρ	4.36	Mg/m³
E_tot	-0.1019	Ha/atom

abc: 4.0311 4.0311 36.7598
angles: 90.00 90.00 90.00
Space group I4/mmm (No. 139)
Unique sites:
Be 0.0000 0.0000 0.1237
Te 0.0000 0.0000 0.3762
Te 0.0000 0.5000 0.0000
Te 0.0000 0.5000 0.2500



This record from Alexandria via LeMat-Bulk describes crystalline MnTl2Se at its relaxed geometry. The functional is PBE.

Properties
DOS at the Fermi energy	2.148	states/eV/f.u.
ρ	9.03	Mg/m³
E_tot	-0.1512	Ha/atom

abc: 4.5214 4.5214 9.7682
angles: 90.00 90.00 90.00
Space group I-4m2 (No. 119)
Unique sites:
Mn 0.0000 0.0000 0.0000
Tl 0.0000 0.0000 0.5000
Tl 0.0000 0.5000 0.2500
Se 0.0000 0.5000 0.7500



This record from Alexandria via LeMat-Bulk describes crystalline Th6OsC2Se3 at its relaxed geometry. The functional is PBE.

Properties
DOS at the Fermi energy	6.665	states/eV/f.u.
ρ	10.53	Mg/m³
E_tot	-0.2961	Ha/atom

abc: 18.2637 3.9455 8.4564
angles: 90.00 107.42 90.00
Space group C2/m (No. 12)
Unique sites:
Th 0.0151 0.0000 0.2399
Th 0.1664 0.5000 0.1233
Th 0.1786 0.5000 0.5573
Os 0.0000 0.5000 0.0000
C 0.1713 0.0000 0.3367
Se 0.0000 0.5000 0.5000
Se 0.1636 0.0000 0.8315



This record from Alexandria via LeMat-Bulk describes crystalline TlCoAg2 at its relaxed geometry. The functional is PBE.

Properties
E_form	461	meV per atom
DOS at the Fermi energy	2.933	states/eV/f.u.
ρ	10.92	Mg/m³

abc: 5.6122 8.7011 2.9828
angles: 90.00 90.00 90.00
Space group Cmmm (No. 65)
Unique sites:
Tl 0.0000 0.0000 0.0000
Co 0.0000 0.5000 0.0000
Ag 0.2500 0.2500 0.5000



This record from Alexandria via LeMat-Bulk describes crystalline Tb5CeNdTm2 at its relaxed geometry. The functional is PBE.

Properties
E_form	175	meV per atom
DOS at the Fermi energy	15.910	states/eV/f.u.
ρ	8.01	Mg/m³

abc: 5.6988 21.4641 9.6017
angles: 90.00 90.00 90.00
Space group Cmc2_1 (No. 36)
Unique sites:
Tb 0.0000 0.0126 0.0000
Tb 0.0000 0.2671 0.3167
Tb 0.0000 0.3054 0.6994
Tb 0.0000 0.3934 0.0248
Tb 0.0000 0.4707 0.7309
Ce 0.0000 0.1940 0.0086
Nd 0.0000 0.4033 0.4076
Tm 0.0000 0.1135 0.3082
Tm 0.0000 0.1356 0.6908